(1)
Ce2CuTc3: relaxed, GGA-PBE.

Unit cell a=8.7874 b=5.5035 c=5.4571 alpha=90.00 beta=124.00 gamma=90.00
Positions (direct):
Ce  0.1165  0.0000  0.3676
Ce  0.3835  0.5000  0.6324
Ce  0.6165  0.5000  0.3676
Ce  0.8835  0.0000  0.6324
Cu  0.0000  0.5000  0.5000
Cu  0.5000  0.0000  0.5000
Tc  0.0000  0.5000  0.0000
Tc  0.2500  0.2500  0.0000
Tc  0.2500  0.7500  0.0000
Tc  0.5000  0.0000  0.0000
Tc  0.7500  0.2500  0.0000
Tc  0.7500  0.7500  0.0000

Results
Space group: No. 12
Magnetization, Bohr magnetons per cell: 0.001
DFT formation energy, kJ/mol of atoms: -13.0


(2)
MoC2: relaxed, GGA-PBE.

Unit cell a=5.7243 b=5.7243 c=2.9713 alpha=90.00 beta=90.00 gamma=120.00
Positions (direct):
Mo  0.0000  0.0000  0.0000
Mo  0.3333  0.6667  0.5000
Mo  0.6667  0.3333  0.5000
C  0.0000  0.2651  0.5000
C  0.0000  0.5912  0.0000
C  0.2651  0.0000  0.5000
C  0.4088  0.4088  0.0000
C  0.5912  0.0000  0.0000
C  0.7349  0.7349  0.5000

Results
Space group: No. 189
Distance to the lowest polymorph of the same formula, eV/f.u.: 2.43
Magnetization, Bohr magnetons per cell: 0.000
DFT formation energy, kJ/mol of atoms: 128.2


(3)
TbPrZn2: relaxed, GGA-PBE.

Unit cell a=3.6334 b=3.6334 c=7.3559 alpha=90.00 beta=90.00 gamma=90.00
Positions (direct):
Tb  0.0000  0.0000  0.0000
Pr  0.0000  0.0000  0.5000
Zn  0.5000  0.5000  0.2302
Zn  0.5000  0.5000  0.7698

Results
Space group: No. 123
Magnetization, Bohr magnetons per cell: 0.000
DFT formation energy, kJ/mol of atoms: -30.5


(4)
K2NaZn: relaxed, GGA-PBE.

Unit cell a=5.4577 b=5.4577 c=25.3804 alpha=90.00 beta=90.00 gamma=90.00
Positions (direct):
K  0.2319  0.2500  0.1250
K  0.2500  0.7319  0.3750
K  0.2500  0.7681  0.8750
K  0.2681  0.2500  0.6250
K  0.7319  0.7500  0.6250
K  0.7500  0.2319  0.8750
K  0.7500  0.2681  0.3750
K  0.7681  0.7500  0.1250
Na  0.0000  0.0000  0.5000
Na  0.0000  0.5000  0.7500
Na  0.5000  0.0000  0.2500
Na  0.5000  0.5000  0.0000
Zn  0.0000  0.0000  0.0000
Zn  0.0000  0.5000  0.2500
Zn  0.5000  0.0000  0.7500
Zn  0.5000  0.5000  0.5000

Results
Space group: No. 122
Magnetization, Bohr magnetons per cell: 0.000
DFT formation energy, kJ/mol of atoms: 24.1


(5)
AuSeBr: relaxed, GGA-PBE.

Unit cell a=6.7409 b=6.7409 c=6.7409 alpha=90.00 beta=90.00 gamma=90.00
Positions (direct):
Au  0.0000  0.0000  0.0000
Au  0.0000  0.5000  0.5000
Au  0.5000  0.0000  0.5000
Au  0.5000  0.5000  0.0000
Se  0.2500  0.2500  0.2500
Se  0.2500  0.7500  0.7500
Se  0.7500  0.2500  0.7500
Se  0.7500  0.7500  0.2500
Br  0.0000  0.0000  0.5000
Br  0.0000  0.5000  0.0000
Br  0.5000  0.0000  0.0000
Br  0.5000  0.5000  0.5000

Results
Space group: No. 216
Formation energy without anion corrections, eV/atom: 0.635
Magnetization, Bohr magnetons per cell: 0.000


(6)
Ac6Hg3IrPt2: relaxed, GGA-PBE.

Unit cell a=7.5912 b=7.5912 c=8.5616 alpha=98.51 beta=98.51 gamma=119.96
Positions (direct):
Ac  0.0686  0.3949  0.2055
Ac  0.2566  0.2566  0.7920
Ac  0.3949  0.0686  0.2055
Ac  0.6051  0.9314  0.7945
Ac  0.7434  0.7434  0.2080
Ac  0.9314  0.6051  0.7945
Hg  0.1708  0.8292  0.5000
Hg  0.5000  0.5000  0.5000
Hg  0.8292  0.1708  0.5000
Ir  0.0000  0.0000  0.0000
Pt  0.3339  0.6661  0.0000
Pt  0.6661  0.3339  0.0000

Results
Space group: No. 12
Magnetization, Bohr magnetons per cell: 0.000
DFT formation energy, kJ/mol of atoms: -73.8


(7)
LuBi2BrO4: relaxed, GGA-PBE.

Unit cell a=3.8747 b=3.8747 c=9.3023 alpha=90.00 beta=90.00 gamma=90.00
Positions (direct):
Lu  0.0000  0.0000  0.0000
Bi  0.5000  0.5000  0.2662
Bi  0.5000  0.5000  0.7338
Br  0.0000  0.0000  0.5000
O  0.0000  0.5000  0.1436
O  0.0000  0.5000  0.8564
O  0.5000  0.0000  0.1436
O  0.5000  0.0000  0.8564

Results
Space group: No. 123
Formation energy without anion corrections, eV/atom: -2.009
Magnetization, Bohr magnetons per cell: 0.000


(8)
BaLa2AuI: relaxed, GGA-PBE.

Unit cell a=5.7798 b=5.7798 c=6.7725 alpha=90.00 beta=90.00 gamma=90.00
Positions (direct):
Ba  0.0000  0.0000  0.0000
La  0.0000  0.5000  0.5000
La  0.5000  0.0000  0.5000
Au  0.0000  0.0000  0.5000
I  0.5000  0.5000  0.0000

Results
Space group: No. 123
Formation energy without anion corrections, eV/atom: -0.383
Magnetization, Bohr magnetons per cell: 0.000


(9)
KTb2Sm3Te6: relaxed, GGA-PBE.

Unit cell a=10.0155 b=10.0155 c=9.0658 alpha=103.25 beta=103.25 gamma=25.57
Positions (direct):
K  0.0000  0.0000  0.0000
Tb  0.3323  0.3323  0.6586
Tb  0.6677  0.6677  0.3414
Sm  0.0000  0.0000  0.5000
Sm  0.3406  0.3406  0.1821
Sm  0.6594  0.6594  0.8179
Te  0.1675  0.1675  0.5789
Te  0.1741  0.1741  0.0888
Te  0.4948  0.4948  0.7377
Te  0.5052  0.5052  0.2623
Te  0.8259  0.8259  0.9112
Te  0.8325  0.8325  0.4211

Results
Space group: No. 12
Formation energy without anion corrections, eV/atom: -1.344
Magnetization, Bohr magnetons per cell: 0.000


(10)
AlHgAs: relaxed, GGA-PBE.

Unit cell a=3.9478 b=3.9478 c=5.0683 alpha=90.00 beta=90.00 gamma=120.00
Positions (direct):
Al  0.0000  0.0000  0.0000
Hg  0.3333  0.6667  0.6157
As  0.6667  0.3333  0.1964

Results
Space group: No. 156
Distance to the lowest polymorph of the same formula, eV/f.u.: 0.00
Magnetization, Bohr magnetons per cell: 0.000
DFT formation energy, kJ/mol of atoms: -5.1


(11)
Mn2BePt: relaxed, GGA-PBE.

Unit cell a=2.7873 b=3.8407 c=8.3454 alpha=90.00 beta=90.00 gamma=90.00
Positions (direct):
Mn  0.0000  0.0000  0.2332
Mn  0.0000  0.0000  0.7668
Mn  0.5000  0.5000  0.2668
Mn  0.5000  0.5000  0.7332
Be  0.0000  0.5000  0.5000
Be  0.5000  0.0000  0.0000
Pt  0.0000  0.5000  0.0000
Pt  0.5000  0.0000  0.5000

Results
Space group: No. 71
Magnetization, Bohr magnetons per cell: 0.624
DFT formation energy, kJ/mol of atoms: -13.9


(12)
Mn2GaCo4Ge: relaxed, GGA-PBE.

Unit cell a=7.0075 b=7.0075 c=7.0075 alpha=33.56 beta=33.56 gamma=33.56
Positions (direct):
Mn  0.2486  0.2486  0.2486
Mn  0.7514  0.7514  0.7514
Ga  0.5000  0.5000  0.5000
Co  0.1237  0.1237  0.1237
Co  0.3738  0.3738  0.3738
Co  0.6262  0.6262  0.6262
Co  0.8763  0.8763  0.8763
Ge  0.0000  0.0000  0.0000

Results
Space group: No. 166
Magnetization, Bohr magnetons per cell: 9.066
DFT formation energy, kJ/mol of atoms: -23.3